(1)
{"formula": "MnNiRu2", "functional": "PBEsol", "state": "optimized geometry", "cell": [[2.955, 0.000, 0.000], [0.000, 2.955, 0.000], [0.000, 0.000, 5.597]], "species": ["Mn", "Ni", "Ru", "Ru"], "frac_coords": [[0.000, 0.000, 0.532], [0.500, 0.500, 0.724], [0.000, 0.000, 0.976], [0.500, 0.500, 0.268]], "energy_ev_per_atom": -8.84, "ef_ev_per_atom": 0.23}

***

(2)
{"formula": "MnNiRu2", "functional": "PBEsol", "state": "optimized geometry", "cell": [[2.579, 0.000, 0.000], [0.000, 3.583, 0.000], [0.000, 0.000, 5.157]], "species": ["Mn", "Ni", "Ru", "Ru"], "frac_coords": [[0.500, 0.500, 0.000], [0.500, 0.500, 0.500], [0.000, 0.000, 0.755], [0.000, 0.000, 0.245]], "energy_ev_per_atom": -8.95, "ef_ev_per_atom": 0.12}

***

(3)
{"formula": "MnNiRu2", "functional": "PBEsol", "state": "optimized geometry", "cell": [[-2.564, 2.798, -1.571], [-4.042, -0.727, -0.068], [-2.508, 2.108, 2.478]], "species": ["Mn", "Ni", "Ru", "Ru"], "frac_coords": [[0.000, 0.000, 0.000], [0.500, 0.500, 0.500], [0.250, 0.250, 0.250], [0.750, 0.750, 0.750]], "energy_ev_per_atom": -8.83, "ef_ev_per_atom": 0.24}